Entry 1:
Entry from Alexandria via LeMat-Bulk: a relaxed BaCo2Cl crystal (GGA-PBEsol).

Cell: 4.768 4.768 7.769 Å, 107.87 107.87 90.00°
Site moments in Bohr magnetons follow the coordinates.
Sites, in units of the cell vectors:
Co1 0.625 0.375 0.750  0.38
Co2 0.125 0.375 0.750  0.38
Co3 0.625 0.875 0.250  0.38
Co4 0.625 0.375 0.250  0.38
Ba1 0.000 0.000 0.000  -0.05
Ba2 0.250 0.750 0.500  -0.05
Cl1 0.500 0.500 0.000  -0.01
Cl2 0.750 0.250 0.500  -0.01

For the density, the calculation gives 6.067 Mg/m³. Its energy above the most stable polymorph in this dataset is 0.000 eV/f.u.

Entry 2:
Entry from Alexandria via LeMat-Bulk: a relaxed Ba2CoCl crystal (GGA-PBEsol).

Cell: 5.357 5.355 5.355 Å, 60.00 59.98 59.98°
Site moments in Bohr magnetons follow the coordinates.
Sites, in units of the cell vectors:
Co1 0.500 0.000 0.000  0.57
Ba1 0.250 0.750 0.750  -0.07
Ba2 0.750 0.250 0.250  -0.07
Cl1 0.000 0.500 0.500  0.00

For the density, the calculation gives 5.644 Mg/m³. Its energy above the most stable polymorph in this dataset is 0.712 eV/f.u.